Entry 1:
This record from Alexandria describes a relaxed structure of Er2TlIn. The functional is PBEsol.

The structure belongs to space group Fm-3m (No. 225); the cell edges are 7.3664, 7.3664 and 7.3664 Å and the angles 90.00°, 90.00° and 90.00°. The distinct sites, in fractional coordinates, are Er at (0.2500, 0.2500, 0.2500), Tl at (0.0000, 0.0000, 0.0000) and In at (0.0000, 0.0000, 0.5000).

As for the density: 10.862 g cm⁻³. As for the formation energy: -436.8 meV/atom. The calculation puts the total energy at -4.3036 eV per atom. Its total magnetization is 0.000 μB/f.u.



Entry 2:
This record from Alexandria describes a relaxed structure of Er3Ir. The functional is PBEsol.

The structure belongs to space group Pnma (No. 62); the cell edges are 7.0773, 8.9673 and 6.2327 Å and the angles 90.00°, 90.00° and 90.00°. The distinct sites, in fractional coordinates, are Er at (0.0326, 0.2500, 0.1257), Er at (0.1781, 0.0608, 0.6735) and Ir at (0.1149, 0.7500, 0.4569).

As for the density: 11.654 g cm⁻³. As for the formation energy: -592.1 meV/atom. The calculation puts the total energy at -6.7433 eV per atom. Its total magnetization is 0.000 μB/f.u.



Entry 3:
This record from Alexandria describes a relaxed structure of Er3Ir2. The functional is PBEsol.

The structure belongs to space group I4/mcm (No. 140); the cell edges are 10.9574, 10.9574 and 24.6046 Å and the angles 90.00°, 90.00° and 90.00°. The distinct sites, in fractional coordinates, are Er at (0.0000, 0.5000, 0.1133), Er at (0.0000, 0.5000, 0.2500), Er at (0.0720, 0.2062, 0.0719), Er at (0.0789, 0.2112, 0.3056), Er at (0.1539, 0.3461, 0.5000), Ir at (0.0000, 0.0000, 0.0000), Ir at (0.0000, 0.0000, 0.1329), Ir at (0.0000, 0.0000, 0.2500), Ir at (0.0944, 0.4056, 0.0000), Ir at (0.1547, 0.3453, 0.1875) and Ir at (0.1812, 0.3188, 0.3934).

As for the density: 13.948 g cm⁻³. As for the formation energy: -820.3 meV/atom. The calculation puts the total energy at -7.7060 eV per atom. Its total magnetization is 0.000 μB/f.u.



Entry 4:
This record from Alexandria describes a relaxed structure of Er5P12Ir19. The functional is PBEsol.

The structure belongs to space group P-62m (No. 189); the cell edges are 12.5665, 12.5665 and 3.9154 Å and the angles 90.00°, 90.00° and 120.00°. The distinct sites, in fractional coordinates, are Er at (0.0000, 0.1829, 0.0000), Er at (0.3333, 0.6667, 0.5000), P at (0.0000, 0.3556, 0.5000), P at (0.0000, 0.8223, 0.5000), P at (0.1708, 0.6871, 0.0000), Ir at (0.0000, 0.0000, 0.5000), Ir at (0.0000, 0.5367, 0.5000), Ir at (0.0000, 0.7151, 0.0000), Ir at (0.1326, 0.4926, 0.0000) and Ir at (0.1805, 0.8053, 0.5000).

As for the density: 15.071 g cm⁻³. As for the formation energy: -837.9 meV/atom. The calculation puts the total energy at -8.6372 eV per atom. Its total magnetization is 0.001 μB/f.u.